An optimized crystal structure of CrCdI2O, computed with GGA+U.

Computed properties:
relative energy among the computed polymorphs	11.65	kcal/mol of atoms
DOS at the Fermi energy	7.67	states/eV per cell

extended XYZ file:
```
5
Lattice="5.9926 0.0000 0.0000 0.0000 5.9926 0.0000 0.0000 0.0000 4.1357" Properties=species:S:1:pos:R:3 pbc="T T T"
O 0.0000 0.0000 2.0679
Cr 2.9963 2.9963 2.0679
Cd 0.0000 0.0000 0.0000
I 0.0000 2.9963 0.0000
I 2.9963 0.0000 0.0000
```